[1]
TaAl2Au | PBE | relaxed

abc: 5.351 5.345 2.848
angles: 76.80 85.64 118.70
Element x y z (fractional)
Ta: 0.500 0.500 0.000
Al: 0.000 0.000 0.000
Au: 0.000 0.500 0.500
Al: 0.500 0.000 0.500

ΔE to the lowest computed polymorph in meV/atom: 140.0

=====

[2]
Ta2AlAu | PBE | relaxed

abc: 7.411 7.411 5.911
angles: 51.18 51.18 90.00
Element x y z (fractional)
Au: 0.750 0.250 0.500
Ta: 0.375 0.372 0.750
Al: 0.250 0.750 0.500
Ta: 0.875 0.878 0.750
Ta: 0.122 0.625 0.250
Au: 0.000 0.000 0.000
Ta: 0.628 0.125 0.250
Al: 0.500 0.500 0.000

=====

[3]
TaAl2Au | PBE | relaxed

abc: 9.190 9.190 9.190
angles: 18.49 18.49 18.49
Element x y z (fractional)
Au: 0.250 0.250 0.250
Al: 0.999 0.999 0.999
Ta: 0.750 0.750 0.750
Al: 0.501 0.501 0.501

ΔE to the lowest computed polymorph in meV/atom: 112.8

=====

[4]
Ta2AlAu | PBE | relaxed

abc: 4.257 2.905 6.307
angles: 61.89 90.00 90.00
Element x y z (fractional)
Ta: 0.000 0.514 0.492
Ta: 0.000 0.986 0.008
Au: 0.500 0.750 0.750
Al: 0.500 0.250 0.250

=====

[5]
Ta2AlAu | PBE | relaxed

abc: 5.479 5.479 5.479
angles: 147.53 127.16 63.40
Element x y z (fractional)
Al: 0.490 0.490 0.000
Ta: 0.745 0.245 0.500
Au: 0.264 0.764 0.500
Ta: 0.001 0.001 0.000

=====

[6]
Ta2AlAu | PBE | relaxed

abc: 9.631 9.631 9.631
angles: 17.52 17.52 17.52
Element x y z (fractional)
Al: 0.498 0.498 0.498
Ta: 0.002 0.002 0.002
Au: 0.754 0.754 0.754
Ta: 0.246 0.246 0.246

=====

no.,magnetization (μB per formula unit),formation enthalpy at 0 K (eV/atom)
1,0.00,-0.152
2,0.00,0.358
3,0.00,-0.179
4,0.00,-0.172
5,0.00,-0.073
6,0.00,0.002